NaSc2HPb: optimized geometry, PBE-GGA.

Structure (POSCAR):
```
NaSc2HPb
1.0
4.585 0.000 0.000
0.000 4.585 0.000
0.000 0.000 4.519
Na Sc H Pb
1 2 1 1
Direct
0.000 0.000 0.500
0.000 0.500 0.000
0.500 0.000 0.000
0.000 0.000 0.000
0.500 0.500 0.500
```

Output
Size of the total moment = 1.25 μB/f.u.
Energy = -4.45 eV/atom

Cs2AgSbCl6: optimized geometry, PBE-GGA.

Structure (POSCAR):
```
Cs2AgSbCl6
1.0
7.668 0.000 0.000
3.834 6.641 0.000
3.834 2.214 6.261
Cl Cs Ag Sb
6 2 1 1
Direct
0.246 0.754 0.246
0.246 0.754 0.754
0.754 0.246 0.246
0.754 0.246 0.754
0.754 0.754 0.246
0.246 0.246 0.754
0.750 0.750 0.750
0.250 0.250 0.250
0.500 0.500 0.500
0.000 0.000 0.000
```

Output
Size of the total moment = 0.00 μB/f.u.
Energy = -3.27 eV/atom
Formation energy without anion corrections = -12.94 eV/f.u.

LiP3: optimized geometry, PBE-GGA.

Structure (POSCAR):
```
LiP3
1.0
-3.918 2.338 -3.397
1.149 -5.558 -0.388
-3.513 -0.962 3.389
P Li
6 2
Direct
0.797 0.595 0.250
0.203 0.405 0.750
0.405 0.203 0.250
0.797 0.203 0.250
0.203 0.797 0.750
0.595 0.797 0.750
0.333 0.667 0.250
0.667 0.333 0.750
```

Output
Size of the total moment = 0.00 μB/f.u.
Energy = -4.48 eV/atom
Formation energy = 0.06 eV per atom

Ho2Zn12GaNi3: optimized geometry, PBE-GGA.

Structure (POSCAR):
```
Ho2Zn12GaNi3
1.0
6.413 -1.442 -1.023
1.913 6.289 -1.023
1.913 1.114 6.274
Zn Ni Ho Ga
12 3 2 1
Direct
0.154 0.574 0.574
0.426 0.426 0.846
0.574 0.154 0.574
0.802 0.290 0.802
0.574 0.574 0.154
0.846 0.426 0.426
0.198 0.198 0.710
0.198 0.710 0.198
0.710 0.198 0.198
0.802 0.802 0.290
0.426 0.846 0.426
0.290 0.802 0.802
0.000 0.500 0.000
0.500 0.000 0.000
0.000 0.000 0.500
0.758 0.758 0.758
0.242 0.242 0.242
0.000 0.000 0.000
```

Output
Size of the total moment = 0.00 μB/f.u.
Energy = -2.55 eV/atom
Formation energy = -0.06 eV per atom

Pb2SF: optimized geometry, PBE-GGA.

Structure (POSCAR):
```
Pb2SF
1.0
3.885 0.000 0.000
1.943 3.365 0.000
1.943 1.122 8.549
Pb S F
2 1 1
Direct
0.908 0.908 0.275
0.092 0.092 0.725
0.500 0.500 0.500
0.000 0.000 0.000
```

Output
Size of the total moment = 0.00 μB/f.u.
Energy = -4.26 eV/atom
Formation energy without anion corrections = -3.61 eV/f.u.

KCu2H3S2O10: optimized geometry, PBE-GGA.

Structure (POSCAR):
```
KCu2H3S2O10
1.0
-0.918 3.146 4.539
-3.664 -2.497 3.417
3.201 -2.863 6.571
H K O Cu S
3 1 10 2 2
Direct
0.474 0.474 0.015
0.288 0.288 0.221
0.709 0.709 0.786
0.502 0.502 0.499
0.189 0.189 0.495
0.342 0.342 0.075
0.179 0.179 0.810
0.838 0.226 0.233
0.226 0.838 0.233
0.824 0.824 0.187
0.655 0.655 0.931
0.164 0.776 0.766
0.813 0.813 0.502
0.776 0.164 0.766
0.994 0.504 0.998
0.504 0.994 0.998
0.080 0.080 0.708
0.923 0.923 0.290
```

Output
Size of the total moment = 1.95 μB/f.u.
Energy = -5.49 eV/atom

Ca2Tl8Sn: optimized geometry, PBE-GGA.

Structure (POSCAR):
```
Ca2Tl8Sn
1.0
5.468 0.000 0.000
0.000 5.468 0.000
0.000 0.000 11.332
Tl Ca Sn
8 2 1
Direct
0.000 0.500 0.500
0.500 0.000 0.500
0.500 0.500 0.324
0.000 0.500 0.850
0.500 0.500 0.676
0.500 0.000 0.850
0.000 0.500 0.150
0.500 0.000 0.150
0.000 0.000 0.319
0.000 0.000 0.681
0.000 0.000 0.000
```

Output
Size of the total moment = 0.00 μB/f.u.
Energy = -2.58 eV/atom
Formation energy = -0.13 eV per atom

K3PuCu2Cl9: optimized geometry, PBE-GGA.

Structure (POSCAR):
```
K3PuCu2Cl9
1.0
-0.594 1.664 6.963
6.201 -2.568 -2.563
2.740 8.382 -1.770
Pu Cl K Cu
1 9 3 2
Direct
0.000 0.000 0.500
0.171 0.829 0.325
0.171 0.342 0.325
0.342 0.171 0.675
0.000 0.500 0.000
0.500 0.000 0.000
0.829 0.171 0.675
0.829 0.658 0.675
0.658 0.829 0.325
0.500 0.500 0.000
0.333 0.667 0.720
0.667 0.333 0.280
0.000 0.000 0.000
0.333 0.667 0.141
0.667 0.333 0.859
```

Output
Size of the total moment = 3.94 μB/f.u.
Energy = -4.28 eV/atom
Formation energy without anion corrections = -21.76 eV/f.u.

Ti11Pd4Pt9: optimized geometry, PBE-GGA.

Structure (POSCAR):
```
Ti11Pd4Pt9
1.0
2.839 0.000 0.000
0.000 11.050 -4.679
0.000 0.040 12.000
Ti Pt Pd
11 9 4
Direct
0.000 0.808 0.192
0.000 0.592 0.954
0.000 0.192 0.808
0.000 0.408 0.046
0.000 0.209 0.209
0.000 0.954 0.592
0.000 0.046 0.408
0.000 0.619 0.381
0.000 0.381 0.619
0.000 0.791 0.791
0.000 0.000 0.000
0.500 0.011 0.204
0.500 0.500 0.500
0.500 0.392 0.826
0.500 0.608 0.174
0.500 0.989 0.796
0.500 0.826 0.392
0.500 0.204 0.011
0.500 0.174 0.608
0.500 0.796 0.989
0.500 0.246 0.409
0.500 0.591 0.754
0.500 0.754 0.591
0.500 0.409 0.246
```

Output
Size of the total moment = 3.07 μB/f.u.
Energy = -7.55 eV/atom
Formation energy = -0.80 eV per atom

PmGdMgBi: optimized geometry, PBE-GGA.

Structure (POSCAR):
```
PmGdMgBi
1.0
5.492 0.000 0.000
2.746 4.756 0.000
2.746 1.585 4.484
Mg Pm Gd Bi
1 1 1 1
Direct
0.000 0.000 0.000
0.250 0.250 0.250
0.750 0.750 0.750
0.500 0.500 0.500
```

Output
Size of the total moment = 7.50 μB/f.u.
Energy = -6.43 eV/atom
Formation energy = -0.36 eV per atom

Y2UFe2: optimized geometry, PBE-GGA.

Structure (POSCAR):
```
Y2UFe2
1.0
5.966 0.162 1.181
2.765 5.289 1.181
0.469 0.293 7.051
Fe U Y
4 2 4
Direct
0.994 0.715 0.990
0.285 0.006 0.510
0.006 0.285 0.010
0.715 0.994 0.490
0.982 0.018 0.750
0.018 0.982 0.250
0.241 0.445 0.636
0.759 0.555 0.364
0.445 0.241 0.136
0.555 0.759 0.864
```

Output
Size of the total moment = 0.00 μB/f.u.
Energy = -8.38 eV/atom
Formation energy = -0.15 eV per atom

Ta8Nb3Rh2: optimized geometry, PBE-GGA.

Structure (POSCAR):
```
Ta8Nb3Rh2
1.0
-4.755 1.723 1.186
-3.455 -6.234 -1.472
-0.985 -4.367 5.736
Rh Ta Nb
2 8 3
Direct
0.748 0.802 0.802
0.252 0.198 0.198
0.772 0.193 0.191
0.477 0.189 0.563
0.523 0.811 0.437
0.059 0.603 0.604
0.228 0.807 0.809
0.524 0.436 0.811
0.476 0.564 0.189
0.941 0.397 0.396
0.500 0.000 0.000
0.000 0.184 0.815
0.000 0.816 0.185
```

Output
Size of the total moment = 0.00 μB/f.u.
Energy = -10.49 eV/atom
Formation energy = 0.26 eV per atom

ZrSi2Ni5: optimized geometry, PBE-GGA.

Structure (POSCAR):
```
ZrSi2Ni5
1.0
3.495 0.000 0.000
1.748 5.528 0.316
1.748 1.326 5.376
Ni Zr Si
5 1 2
Direct
0.355 0.836 0.453
0.645 0.547 0.164
0.355 0.453 0.836
0.000 0.500 0.500
0.645 0.164 0.547
0.000 0.000 0.000
0.251 0.249 0.249
0.749 0.751 0.751
```

Output
Size of the total moment = 0.00 μB/f.u.
Energy = -6.59 eV/atom
Formation energy without anion corrections = -4.45 eV/f.u.

Y2HW: optimized geometry, PBE-GGA.

Structure (POSCAR):
```
Y2HW
1.0
6.738 0.000 0.000
0.000 6.738 0.000
3.369 3.369 3.504
Y W H
4 2 2
Direct
0.875 0.783 0.750
0.375 0.467 0.750
0.217 0.625 0.250
0.533 0.125 0.250
0.750 0.250 0.500
0.000 0.000 0.000
0.500 0.500 0.000
0.250 0.750 0.500
```

Output
Size of the total moment = 0.95 μB/f.u.
Energy = -6.83 eV/atom

MgInGa2Rh: optimized geometry, PBE-GGA.

Structure (POSCAR):
```
MgInGa2Rh
1.0
4.792 0.000 0.000
0.000 4.792 0.000
0.000 0.000 5.060
Mg Ga In Rh
1 2 1 1
Direct
0.000 0.000 0.500
0.500 0.000 0.000
0.000 0.500 0.000
0.500 0.500 0.500
0.000 0.000 0.000
```

Output
Size of the total moment = 0.00 μB/f.u.
Energy = -3.74 eV/atom
Formation energy = -0.19 eV per atom

Nd3Er2Hg7: optimized geometry, PBE-GGA.

Structure (POSCAR):
```
Nd3Er2Hg7
1.0
5.598 0.000 0.000
0.000 5.190 0.000
0.000 -2.595 11.508
Er Hg Nd
2 7 3
Direct
0.000 0.858 0.716
0.000 0.142 0.284
0.000 0.424 0.848
0.000 0.724 0.449
0.500 0.088 0.177
0.000 0.576 0.152
0.500 0.912 0.823
0.000 0.276 0.551
0.000 0.000 0.000
0.500 0.329 0.657
0.500 0.500 0.000
0.500 0.671 0.343
```

Output
Size of the total moment = 0.00 μB/f.u.
Energy = -2.46 eV/atom
Formation energy = -0.33 eV per atom

SrMo2Pb: optimized geometry, PBE-GGA.

Structure (POSCAR):
```
SrMo2Pb
1.0
4.539 0.024 -0.043
3.355 3.056 -0.043
0.950 0.371 7.231
Mo Sr Pb
2 1 1
Direct
0.744 0.744 0.793
0.017 0.017 0.915
0.249 0.249 0.228
0.490 0.490 0.564
```

Output
Size of the total moment = 0.00 μB/f.u.
Energy = -6.24 eV/atom
Formation energy = 0.53 eV per atom

Sr3Zn5Au6: optimized geometry, PBE-GGA.

Structure (POSCAR):
```
Sr3Zn5Au6
1.0
-0.356 4.543 -0.378
-9.496 -0.792 -0.586
-0.937 1.070 13.747
Zn Au Sr
10 12 6
Direct
0.000 0.746 0.000
0.000 0.532 0.868
0.000 0.532 0.132
0.000 0.900 0.325
0.000 0.900 0.675
0.500 0.254 0.500
0.500 0.468 0.368
0.500 0.100 0.175
0.500 0.468 0.632
0.500 0.100 0.825
0.000 0.036 0.500
0.500 0.380 0.171
0.000 0.620 0.671
0.500 0.380 0.829
0.000 0.966 0.131
0.500 0.034 0.369
0.000 0.966 0.869
0.000 0.443 0.500
0.500 0.964 0.000
0.000 0.620 0.329
0.500 0.034 0.631
0.500 0.557 0.000
0.500 0.754 0.500
0.500 0.750 0.806
0.000 0.250 0.306
0.500 0.750 0.194
0.000 0.250 0.694
0.000 0.246 0.000
```

Output
Size of the total moment = 0.00 μB/f.u.
Energy = -2.73 eV/atom
Formation energy = -0.51 eV per atom